TlCo2SiPb meta-GGA SCAN PBEsol geometry; crystal system = tetragonal; E = -37.2756 eV/atom; ΔE_f (raw) = 1.277 eV/atom; calculated density = 8.10 g/cm3
1.0
4.792 0.000 0.000
0.000 4.792 0.000
0.000 0.000 4.978
Pb Tl Co Si
1 1 2 1
direct
0.500 0.500 0.500 Pb
0.000 0.000 0.000 Tl
0.000 0.500 0.000 Co
0.500 0.000 0.000 Co
0.000 0.000 0.500 Si

---

LaTeMo2 meta-GGA SCAN PBEsol geometry; crystal system = trigonal; E = -37.6545 eV/atom; ΔE_f (raw) = -0.123 eV/atom; calculated density = 8.25 g/cm3
1.0
-1.443 1.420 3.895
-4.040 -1.049 1.359
0.165 -4.439 4.153
La Mo Te
1 2 1
direct
0.255 0.255 0.234 La
0.044 0.044 0.869 Mo
0.740 0.740 0.780 Mo
0.467 0.467 0.600 Te

---

Mg2CdIr meta-GGA SCAN PBEsol geometry; crystal system = tetragonal; E = -28.1614 eV/atom; calculated density = 8.70 g/cm3
1.0
3.984 0.000 0.000
0.000 3.984 0.000
-1.992 -1.992 4.249
Mg Ir Cd
2 1 1
direct
0.000 0.000 0.000 Mg
0.750 0.250 0.500 Mg
0.250 0.750 0.500 Ir
0.500 0.500 0.000 Cd

---

no.,total magnetic moment (μB per atom)
1,0.7348
2,0.0000
3,0.0002